A relaxed PuMoH2O6 crystal. Source: the Alexandria database, functional GGA+U.

abc: 5.0367 5.4618 5.7321
angles: 94.26 115.77 116.79
Last column: nearest neighbours and their distance in Å.
Atoms (fractional coordinates):
Pu (0.0000, 0.0000, 0.0000)  2 O 1.95
Mo (0.0000, 0.5000, 0.5000)  6 O 1.88-2.10
H (0.3291, 0.6981, 0.2450)  1 O 0.98
H (0.6709, 0.3019, 0.7550)  1 O 0.98
O (0.1045, 0.8705, 0.7429)  1 Pu 1.95, 1 Mo 2.07
O (0.1624, 0.7316, 0.2633)  1 H 0.98
O (0.4625, 0.6114, 0.7450)  1 Mo 1.88
O (0.5375, 0.3886, 0.2550)  1 Mo 1.88
O (0.8376, 0.2684, 0.7367)  1 H 0.98
O (0.8955, 0.1295, 0.2571)  1 Pu 1.95, 1 Mo 2.07

Energy   -7.581 eV/atom
Crystal system   triclinic